# K2AlMoF GGA+U relaxed
data_K2AlMoF
_chemical_formula_sum 'K2 Al1 Mo1 F1'
_cell_length_a 6.6559
_cell_length_b 6.6559
_cell_length_c 5.0960
_cell_angle_alpha 90.00
_cell_angle_beta 90.00
_cell_angle_gamma 90.00
_symmetry_space_group_name_H-M 'P 4/m m m'
_symmetry_Int_Tables_number 123
_symmetry_space_group_name_Hall '-P 4 2'
loop_
_atom_site_label
_atom_site_type_symbol
_atom_site_fract_x
_atom_site_fract_y
_atom_site_fract_z
K1 K 0.0000 0.5000 0.0000
Al1 Al 0.0000 0.0000 0.5000
Mo1 Mo 0.0000 0.0000 0.0000
F1 F 0.5000 0.5000 0.5000
# DOS(E_F)   0.624 states/eV per atom
# Final energy   -2.711 eV/atom